1.
First-principles (PBE-GGA) data for an optimized crystal structure of LiY2TmS5, as listed in Alexandria via LeMat-Bulk.

Results
E_form (uncorrected), meV/atom: -1882
Total magnetization, μB/cell: 0.00

Unit cell a=3.8813 b=8.2964 c=11.7572 alpha=90.00 beta=90.00 gamma=103.53
Positions (direct):
Li 0.5140 0.0279 0.9810
Li 0.4860 0.9721 0.4810
S 0.5002 0.0004 0.2841
S 0.6928 0.3857 0.8435
S 0.4998 0.9996 0.7841
S 0.7148 0.4296 0.1619
S 0.6370 0.2739 0.5006
S 0.3630 0.7261 0.0006
S 0.0471 0.0943 0.0736
S 0.9529 0.9057 0.5736
S 0.2852 0.5704 0.6619
S 0.3072 0.6143 0.3435
Y 0.1069 0.2138 0.6840
Y 0.1248 0.2497 0.2932
Y 0.8931 0.7862 0.1840
Y 0.8752 0.7503 0.7932
Tm 0.1975 0.3950 0.0019
Tm 0.8025 0.6050 0.5019


2.
First-principles (PBE-GGA) data for an optimized crystal structure of LiYTmS3, as listed in Alexandria via LeMat-Bulk.

Results
E_form (uncorrected), meV/atom: -1796
Total magnetization, μB/cell: 0.00

Unit cell a=3.7760 b=7.9384 c=8.2944 alpha=102.49 beta=90.00 gamma=90.00
Positions (direct):
S 0.7500 0.2201 0.4946
S 0.7500 0.9048 0.1316
S 0.2500 0.5749 0.8301
S 0.7500 0.4251 0.1699
S 0.2500 0.7799 0.5054
S 0.2500 0.0952 0.8684
Li 0.7500 0.9125 0.4169
Li 0.2500 0.0875 0.5831
Y 0.2500 0.1873 0.2204
Y 0.7500 0.8127 0.7796
Tm 0.7500 0.3370 0.8330
Tm 0.2500 0.6630 0.1670


3.
First-principles (PBE-GGA) data for an optimized crystal structure of LiTm2ZrS4, as listed in Alexandria via LeMat-Bulk.

Results
E_form (uncorrected), meV/atom: -1760
Total magnetization, μB/cell: 0.00

Unit cell a=3.7737 b=6.6536 c=6.4053 alpha=109.25 beta=90.00 gamma=90.00
Positions (direct):
Tm 0.5000 0.0000 0.5000
Tm 0.0000 0.5000 0.5000
S 0.5000 0.2450 0.2406
S 0.5000 0.7550 0.7594
S 0.0000 0.7536 0.2404
S 0.0000 0.2464 0.7596
Li 0.0000 0.0000 0.0000
Zr 0.5000 0.5000 0.0000


no.,final energy (eV per atom)
1,-6.321
2,-6.001
3,-6.249